[1]
# PBE-GGA Pr4DyY8, relaxed
# Final energy (eV/atom): -5.29
# V (Å³/cell): 1462.0
# Calculated density (Mg/m³): 4.898
# Crystal system: trigonal
data_Pr4DyY8
_cell_length_a 11.1340
_cell_length_b 11.1340
_cell_length_c 13.6184
_cell_angle_alpha 90.00
_cell_angle_beta 90.00
_cell_angle_gamma 120.00
_space_group_name_H-M_alt 'R -3 m'
_space_group_IT_number 166
_space_group_name_Hall '-R 3 2"'
loop_
_atom_site_label
_atom_site_type_symbol
_atom_site_fract_x
_atom_site_fract_y
_atom_site_fract_z
Pr1 Pr 0.0000 0.0000 0.0000
Pr2 Pr 0.0000 0.5000 0.0000
Dy1 Dy 0.0000 0.0000 0.5000
Y1 Y 0.0000 0.0000 0.2406
Y2 Y 0.0124 0.5062 0.7469



[2]
# PBE-GGA PrDy2Y3, relaxed
# V (Å³/cell): 780.4
# Calculated density (Mg/m³): 6.235
# Polymorph energy (0 for the lowest one) (kcal/mol of atoms): 0.00
# Crystal system: monoclinic
data_PrDy2Y3
_cell_length_a 9.0176
_cell_length_b 9.8576
_cell_length_c 8.9928
_cell_angle_alpha 90.00
_cell_angle_beta 102.50
_cell_angle_gamma 90.00
_space_group_name_H-M_alt 'C 1 2/c 1'
_space_group_IT_number 15
loop_
_space_group_symop_operation_xyz
'x,y,z'
'-x,-y,-z'
'-x,y,-z+1/2'
'x,-y,z+1/2'
'x+1/2,y+1/2,z'
'-x+1/2,-y+1/2,-z'
'-x+1/2,y+1/2,-z+1/2'
'x+1/2,-y+1/2,z+1/2'
loop_
_atom_site_label
_atom_site_type_symbol
_atom_site_fract_x
_atom_site_fract_y
_atom_site_fract_z
Pr1 Pr 0.0000 0.1001 0.2500
Dy1 Dy 0.1245 0.2519 0.6241
Y1 Y 0.0000 0.4294 0.2500
Y2 Y 0.2403 0.0825 0.9910



Spin magnetization for the records above, in order: 6.99; 0.00 Bohr magnetons per cell